This record from Alexandria via LeMat-Bulk describes a PBEsol-optimized structure of AlAg2Se. The functional is meta-GGA SCAN. Values from VASP.

Final energy in eV per cell: -180.30
Total moment in μB/f.u.: 0.0
Formation energy from raw total energies in meV per atom: 104

Structure (Quantum ESPRESSO input):
```
&SYSTEM
  ibrav = 0, nat = 8, ntyp = 3
/
ATOMIC_SPECIES
Al 26.98 Al.upf
Ag 107.87 Ag.upf
Se 78.96 Se.upf
CELL_PARAMETERS angstrom
4.010 0.000 0.000
0.000 4.010 0.000
0.000 0.000 8.802
ATOMIC_POSITIONS crystal
Al 0.000 0.000 0.000
Al 0.500 0.500 0.500
Ag 0.000 0.500 0.250
Ag 0.000 0.500 0.750
Ag 0.500 0.000 0.250
Ag 0.500 0.000 0.750
Se 0.000 0.000 0.500
Se 0.500 0.500 0.000
```

---

This record from Alexandria via LeMat-Bulk describes a PBEsol-optimized structure of In3CoCl. The functional is meta-GGA SCAN. Values from VASP.

Final energy in eV per cell: -121.98
Total moment in μB/f.u.: 2.1
Formation energy from raw total energies in meV per atom: 692

Structure (Quantum ESPRESSO input):
```
&SYSTEM
  ibrav = 0, nat = 5, ntyp = 3
/
ATOMIC_SPECIES
In 114.82 In.upf
Co 58.93 Co.upf
Cl 35.45 Cl.upf
CELL_PARAMETERS angstrom
5.391 0.000 0.000
0.000 5.391 0.000
0.000 0.000 5.391
ATOMIC_POSITIONS crystal
In 0.000 0.000 0.500
In 0.000 0.500 0.000
In 0.500 0.000 0.000
Co 0.500 0.500 0.500
Cl 0.000 0.000 0.000
```

---

This record from Alexandria via LeMat-Bulk describes a PBEsol-optimized structure of ZrTlZn3. The functional is meta-GGA SCAN. Values from VASP.

Final energy in eV per cell: -139.04
Total moment in μB/f.u.: 0.0
Energy relative to the elements in kJ/mol of atoms: 87.99

Structure (Quantum ESPRESSO input):
```
&SYSTEM
  ibrav = 0, nat = 5, ntyp = 3
/
ATOMIC_SPECIES
Zr 91.22 Zr.upf
Tl 204.38 Tl.upf
Zn 65.41 Zn.upf
CELL_PARAMETERS angstrom
4.850 0.000 0.000
0.000 4.850 0.000
0.000 0.000 4.850
ATOMIC_POSITIONS crystal
Zr 0.000 0.000 0.000
Tl 0.500 0.500 0.500
Zn 0.000 0.500 0.500
Zn 0.500 0.000 0.500
Zn 0.500 0.500 0.000
```

---

This record from Alexandria via LeMat-Bulk describes a PBEsol-optimized structure of CuIr2W. The functional is meta-GGA SCAN. Values from VASP.

Final energy in eV per cell: -454.18
Total moment in μB/f.u.: 0.0
Energy relative to the elements in kJ/mol of atoms: -0.11

Structure (Quantum ESPRESSO input):
```
&SYSTEM
  ibrav = 0, nat = 8, ntyp = 3
/
ATOMIC_SPECIES
Cu 63.55 Cu.upf
Ir 192.22 Ir.upf
W 183.84 W.upf
CELL_PARAMETERS angstrom
5.480 0.000 0.000
0.000 7.434 0.000
0.000 0.000 2.746
ATOMIC_POSITIONS crystal
Cu 0.000 0.000 0.000
Cu 0.500 0.500 0.000
Ir 0.250 0.250 0.500
Ir 0.250 0.750 0.500
Ir 0.750 0.250 0.500
Ir 0.750 0.750 0.500
W 0.000 0.500 0.000
W 0.500 0.000 0.000
```

---

This record from Alexandria via LeMat-Bulk describes a PBEsol-optimized structure of Li5Cu3. The functional is meta-GGA SCAN. Values from VASP.

Final energy in eV per cell: -114.18
Total moment in μB/f.u.: 0.0
Energy relative to the elements in kJ/mol of atoms: 5.53

Structure (Quantum ESPRESSO input):
```
&SYSTEM
  ibrav = 0, nat = 16, ntyp = 2
/
ATOMIC_SPECIES
Li 6.94 Li.upf
Cu 63.55 Cu.upf
CELL_PARAMETERS angstrom
7.532 0.000 0.000
-3.766 6.523 0.000
0.000 0.000 4.605
ATOMIC_POSITIONS crystal
Li 0.000 0.241 0.250
Li 0.000 0.759 0.750
Li 0.241 0.000 0.250
Li 0.241 0.241 0.750
Li 0.333 0.667 0.000
Li 0.333 0.667 0.500
Li 0.667 0.333 0.000
Li 0.667 0.333 0.500
Li 0.759 0.000 0.750
Li 0.759 0.759 0.250
Cu 0.000 0.425 0.750
Cu 0.000 0.575 0.250
Cu 0.425 0.000 0.750
Cu 0.425 0.425 0.250
Cu 0.575 0.000 0.250
Cu 0.575 0.575 0.750
```

---

This record from Alexandria via LeMat-Bulk describes a PBEsol-optimized structure of ZnSe2Br. The functional is meta-GGA SCAN. Values from VASP.

Final energy in eV per cell: -282.72
Total moment in μB/f.u.: 0.0
Formation energy from raw total energies in meV per atom: 613

Structure (Quantum ESPRESSO input):
```
&SYSTEM
  ibrav = 0, nat = 16, ntyp = 3
/
ATOMIC_SPECIES
Zn 65.41 Zn.upf
Se 78.96 Se.upf
Br 79.90 Br.upf
CELL_PARAMETERS angstrom
6.797 0.000 0.000
0.000 6.797 0.000
0.000 0.000 6.797
ATOMIC_POSITIONS crystal
Zn 0.000 0.000 0.000
Zn 0.000 0.500 0.500
Zn 0.500 0.000 0.500
Zn 0.500 0.500 0.000
Se 0.250 0.250 0.250
Se 0.250 0.250 0.750
Se 0.250 0.750 0.250
Se 0.250 0.750 0.750
Se 0.750 0.250 0.250
Se 0.750 0.250 0.750
Se 0.750 0.750 0.250
Se 0.750 0.750 0.750
Br 0.000 0.000 0.500
Br 0.000 0.500 0.000
Br 0.500 0.000 0.000
Br 0.500 0.500 0.500
```

---

final energy of number 2 (In3CoCl)?
-121.98 eV per cell

---

What is the formula in the fourth record?
CuIr2W

---

What did the first record say?
This record from Alexandria via LeMat-Bulk describes a PBEsol-optimized structure of AlAg2Se. The functional is meta-GGA SCAN. Values from VASP.

Final energy in eV per cell: -180.30
Total moment in μB/f.u.: 0.0
Formation energy from raw total energies in meV per atom: 104

Structure (Quantum ESPRESSO input):
```
&SYSTEM
  ibrav = 0, nat = 8, ntyp = 3
/
ATOMIC_SPECIES
Al 26.98 Al.upf
Ag 107.87 Ag.upf
Se 78.96 Se.upf
CELL_PARAMETERS angstrom
4.010 0.000 0.000
0.000 4.010 0.000
0.000 0.000 8.802
ATOMIC_POSITIONS crystal
Al 0.000 0.000 0.000
Al 0.500 0.500 0.500
Ag 0.000 0.500 0.250
Ag 0.000 0.500 0.750
Ag 0.500 0.000 0.250
Ag 0.500 0.000 0.750
Se 0.000 0.000 0.500
Se 0.500 0.500 0.000
```